Record 1
Er12FeHg6: relaxed, PBE.

```
Er12FeHg6
1.0
-4.286 3.613 5.855
-6.568 -2.314 -4.149
0.621 -7.015 4.014
Er Hg Fe
12 6 1
Direct
0.031 0.915 0.694
0.085 0.306 0.969
0.969 0.085 0.306
0.202 0.423 0.542
0.798 0.577 0.458
0.694 0.031 0.915
0.458 0.798 0.577
0.542 0.202 0.423
0.915 0.694 0.031
0.306 0.969 0.085
0.577 0.458 0.798
0.423 0.542 0.202
0.141 0.739 0.355
0.645 0.859 0.261
0.261 0.645 0.859
0.859 0.261 0.645
0.739 0.355 0.141
0.355 0.141 0.739
0.000 0.000 0.000
```

Electronic total energy   -3.6247 eV per atom
Energy of formation from the pure elements   -3.841 eV per formula unit
Spin magnetization   0.000 μB/atom


Record 2
Ho2ErBi2: relaxed, PBE.

```
Ho2ErBi2
1.0
4.685 0.949 -0.848
-0.068 4.780 -0.848
-2.552 -3.166 8.048
Ho Bi Er
2 2 1
Direct
0.251 0.749 0.500
0.749 0.251 0.500
0.527 0.527 0.204
0.473 0.473 0.796
0.000 0.000 0.000
```

Electronic total energy   -4.6386 eV per atom
Energy of formation from the pure elements   -1.713 eV per formula unit
Spin magnetization   0.000 μB/atom